# 1
An optimized crystal structure of MnCo2Si. Source: Alexandria via LeMat-Bulk, functional PBE.

The structure in CIF format:
```
data_MnCo2Si
_chemical_formula_sum 'Mn1 Co2 Si1'
_cell_length_a 2.823
_cell_length_b 2.823
_cell_length_c 5.552
_cell_angle_alpha 90.00
_cell_angle_beta 90.00
_cell_angle_gamma 90.00
_symmetry_space_group_name_H-M 'P 4 m m'
_symmetry_Int_Tables_number 99
loop_
_symmetry_equiv_pos_as_xyz
'x,y,z'
'-y,x,z'
'-x,-y,z'
'y,-x,z'
'-x,y,z'
'y,x,z'
'x,-y,z'
'-y,-x,z'
loop_
_atom_site_label
_atom_site_type_symbol
_atom_site_fract_x
_atom_site_fract_y
_atom_site_fract_z
Mn1 Mn 0.000 0.000 0.000
Co1 Co 0.000 0.000 0.483
Co2 Co 0.500 0.500 0.754
Si1 Si 0.500 0.500 0.253
```

Results
formation energy from raw total energies	-64	kJ/mol of formula units
crystal system	tetragonal

# 2
An optimized crystal structure of Cr2CdAgAs. Source: Alexandria via LeMat-Bulk, functional PBE.

The structure in CIF format:
```
data_Cr2CdAgAs
_chemical_formula_sum 'Cr2 Cd1 Ag1 As1'
_cell_length_a 5.013
_cell_length_b 5.013
_cell_length_c 5.015
_cell_angle_alpha 90.00
_cell_angle_beta 90.00
_cell_angle_gamma 90.00
_symmetry_space_group_name_H-M 'P 4/m m m'
_symmetry_Int_Tables_number 123
_symmetry_space_group_name_Hall '-P 4 2'
loop_
_atom_site_label
_atom_site_type_symbol
_atom_site_fract_x
_atom_site_fract_y
_atom_site_fract_z
Cr1 Cr 0.000 0.500 0.000
Cd1 Cd 0.000 0.000 0.500
Ag1 Ag 0.000 0.000 0.000
As1 As 0.500 0.500 0.500
```

Results
crystal system	tetragonal
formation energy from the elements	1.1327	eV per atom

For the records above, the corresponding DOS(E_F) values read 3.754 3.745 states/eV/cell.
For the records above, the corresponding total moment values read 4.2 8.5 μB per cell.
For the records above, the corresponding DFT total energy values read -7.37 -4.40 eV per atom.